1.
The following is a GGA-PBE calculation of a geometry-optimized SrBeRe2 structure, from Alexandria via LeMat-Bulk.

density of states at the Fermi level = 3.25 states/eV/f.u.
formation energy from the elements = 1100 meV/atom
SG = Pmmm, No. 47

a = 3.185 Å, b = 4.443 Å, c = 4.919 Å
α = 90.00°, β = 90.00°, γ = 90.00°
Element x y z (fractional)
Be: 0.000 0.500 0.500
Re: 0.000 0.000 0.000
Re: 0.500 0.500 0.000
Sr: 0.500 0.000 0.500

---

2.
The following is a GGA-PBE calculation of a geometry-optimized ZnGa2Hg structure, from Alexandria via LeMat-Bulk.

density of states at the Fermi level = 1.29 states/eV/f.u.
formation energy from the elements = 83 meV/atom
energy above the lowest structure with this stoichiometry = 14 meV per atom
SG = P4/mmm, No. 123

a = 3.007 Å, b = 3.007 Å, c = 8.874 Å
α = 90.00°, β = 90.00°, γ = 90.00°
Element x y z (fractional)
Ga: 0.000 0.000 0.784
Ga: 0.000 0.000 0.216
Hg: 0.500 0.500 0.500
Zn: 0.500 0.500 0.000

---

3.
The following is a GGA-PBE calculation of a geometry-optimized Tb4CdInAg2 structure, from Alexandria via LeMat-Bulk.

density of states at the Fermi level = 6.76 states/eV/f.u.
formation energy from the elements = -345 meV/atom
SG = R-3m, No. 166

a = 5.256 Å, b = 5.256 Å, c = 9.117 Å
α = 73.25°, β = 73.25°, γ = 60.00°
Element x y z (fractional)
Ag: 0.751 0.751 0.747
Ag: 0.249 0.249 0.253
Cd: 0.500 0.500 0.500
Tb: 0.624 0.624 0.127
Tb: 0.126 0.126 0.623
Tb: 0.874 0.874 0.377
Tb: 0.376 0.376 0.873
In: 0.000 0.000 0.000